Record 1
Entry from the Alexandria database: crystalline La2Y12Ho5 at its relaxed geometry (PBE-GGA).

The size of the total moment comes out at 0.00 μB per formula unit. The energy above the most stable polymorph in this dataset comes out at 90 meV/atom. The formation energy is 0.137 eV per atom.

Cell lengths 15.769, 9.340, 8.583 Å; angles 90.00, 91.14, 90.00 degrees
Space group C2/m (No. 12)
Asymmetric unit:
La  0.000  0.185  0.000 x4
Y  0.058  0.000  0.326 x4
Y  0.093  0.500  0.880 x4
Y  0.126  0.191  0.649 x8
Y  0.157  0.320  0.243 x8
Ho  0.000  0.500  0.500 x2
Ho  0.197  0.000  0.009 x4
Ho  0.232  0.500  0.577 x4

Record 2
Entry from the Alexandria database: crystalline La5Zn2Fe at its relaxed geometry (PBE-GGA).

The size of the total moment comes out at 0.00 μB per formula unit. The formation energy is -0.125 eV per atom.

Cell lengths 8.160, 11.579, 4.849 Å; angles 90.00, 90.00, 90.00 degrees
Space group Pbam (No. 55)
Asymmetric unit:
La  0.000  0.000  0.000 x2
La  0.134  0.306  0.000 x4
La  0.184  0.576  0.500 x4
Zn  0.074  0.839  0.500 x4
Fe  0.000  0.500  0.000 x2

Record 3
Entry from the Alexandria database: crystalline LiTa2As at its relaxed geometry (PBE-GGA).

The size of the total moment comes out at 0.00 μB per formula unit. The formation energy is -0.078 eV per atom.

Cell lengths 3.526, 4.680, 8.642 Å; angles 90.00, 90.00, 90.00 degrees
Space group Cmm2 (No. 35)
Asymmetric unit:
Li  0.000  0.000  0.000 x2
Ta  0.000  0.000  0.542 x2
Ta  0.000  0.500  0.289 x2
As  0.000  0.500  0.769 x2

Record 4
Entry from the Alexandria database: crystalline CaNiN at its relaxed geometry (PBE-GGA).

The size of the total moment comes out at 0.00 μB per formula unit. The energy above the most stable polymorph in this dataset comes out at 402 meV/atom. Its energy relative to the elements, uncorrected is -280.6 meV per atom.

Cell lengths 3.4293, 3.4293, 3.8816 Å; angles 90.00, 90.00, 120.00 degrees
Space group P-6m2 (No. 187)
Asymmetric unit:
Ca  0.0000  0.0000  0.0000 x1
Ni  0.6667  0.3333  0.5000 x1
N  0.3333  0.6667  0.5000 x1

Record 5
Entry from the Alexandria database: crystalline CaMg3Cd at its relaxed geometry (PBE-GGA).

The size of the total moment comes out at 0.00 μB per formula unit. The energy above the most stable polymorph in this dataset comes out at 943 meV/atom. The formation energy is 0.836 eV per atom.

Cell lengths 6.196, 6.196, 6.196 Å; angles 90.00, 90.00, 90.00 degrees
Space group Pm-3m (No. 221)
Asymmetric unit:
Ca  0.000  0.000  0.000 x1
Mg  0.000  0.000  0.500 x3
Cd  0.500  0.500  0.500 x1

Record 6
Entry from the Alexandria database: crystalline Pm3Sm2Er4 at its relaxed geometry (PBE-GGA).

The size of the total moment comes out at 0.00 μB per formula unit. The energy above the most stable polymorph in this dataset comes out at 0 meV/atom. The formation energy is 0.018 eV per atom.

Cell lengths 11.290, 5.071, 10.745 Å; angles 90.00, 108.17, 90.00 degrees
Space group C2/m (No. 12)
Asymmetric unit:
Pm  0.000  0.000  0.000 x2
Pm  0.167  0.500  0.557 x4
Sm  0.166  0.500  0.220 x4
Er  0.000  0.000  0.333 x4
Er  0.166  0.500  0.889 x4

Record 7
Entry from the Alexandria database: crystalline Ta2CrP at its relaxed geometry (PBE-GGA).

The size of the total moment comes out at 0.20 μB per formula unit. The formation energy is -0.161 eV per atom.

Cell lengths 5.486, 6.943, 3.143 Å; angles 90.00, 90.25, 90.00 degrees
Space group C2/m (No. 12)
Asymmetric unit:
Ta  0.250  0.250  0.000 x4
Cr  0.000  0.000  0.500 x2
P  0.000  0.500  0.500 x2

Record 8
Entry from the Alexandria database: crystalline SrAlCd2Au at its relaxed geometry (PBE-GGA).

The size of the total moment comes out at 0.00 μB per formula unit. The formation energy is -0.369 eV per atom.

Cell lengths 4.370, 4.610, 12.357 Å; angles 90.00, 90.00, 90.00 degrees
Space group Imm2 (No. 44)
Asymmetric unit:
Sr  0.000  0.000  0.000 x2
Al  0.000  0.500  0.767 x2
Cd  0.000  0.000  0.616 x2
Cd  0.000  0.500  0.262 x2
Au  0.000  0.000  0.391 x2

Record 9
Entry from the Alexandria database: crystalline Cs2RbBr2 at its relaxed geometry (PBE-GGA).

The size of the total moment comes out at 0.00 μB per formula unit. The energy above the most stable polymorph in this dataset comes out at 146 meV/atom. Its energy relative to the elements, uncorrected is -1217.3 meV per atom.

Cell lengths 10.750, 10.750, 4.430 Å; angles 90.00, 90.00, 90.00 degrees
Space group P4/mbm (No. 127)
Asymmetric unit:
Cs  0.138  0.362  0.000 x4
Rb  0.000  0.000  0.000 x2
Br  0.150  0.650  0.500 x4

Record 10
Entry from the Alexandria database: crystalline ErBePb at its relaxed geometry (PBE-GGA).

The size of the total moment comes out at 0.00 μB per formula unit. The formation energy is 0.121 eV per atom.

Cell lengths 6.3907, 6.3907, 11.8703 Å; angles 90.00, 90.00, 120.00 degrees
Space group P6_222 (No. 180)
Asymmetric unit:
Er  0.0000  0.5000  0.3867 x6
Be  0.1816  0.5908  0.1667 x6
Pb  0.0000  0.0000  0.1667 x3
Pb  0.0000  0.5000  0.6667 x3

Record 11
Entry from the Alexandria database: crystalline K2PuInTe4 at its relaxed geometry (PBE-GGA).

The size of the total moment comes out at 5.00 μB per formula unit. Its energy relative to the elements, uncorrected is -785.4 meV per atom.

Cell lengths 8.637, 8.637, 7.728 Å; angles 90.00, 90.00, 90.00 degrees
Space group I-42m (No. 121)
Asymmetric unit:
K  0.000  0.500  0.000 x4
Pu  0.000  0.000  0.000 x2
In  0.000  0.000  0.500 x2
Te  0.184  0.184  0.272 x8

Record 12
Entry from the Alexandria database: crystalline CuTe3 at its relaxed geometry (PBE-GGA).

The size of the total moment comes out at 0.00 μB per formula unit. Its energy relative to the elements, uncorrected is 116.7 meV per atom.

Cell lengths 3.798, 11.480, 5.015 Å; angles 90.00, 90.00, 90.00 degrees
Space group Imm2 (No. 44)
Asymmetric unit:
Cu  0.000  0.000  0.000 x2
Te  0.000  0.337  0.599 x4
Te  0.000  0.500  0.096 x2